# GGA-PBE BaInSbI2, optimized geometry
# Formation energy from raw total energies in meV/atom: -335
# M_tot in μB per formula unit: 2.005
# Uncorrected energy in eV per atom: -2.712
data_BaInSbI2
_cell_length_a 6.6766
_cell_length_b 6.6766
_cell_length_c 6.9038
_cell_angle_alpha 90.00
_cell_angle_beta 90.00
_cell_angle_gamma 90.00
_symmetry_space_group_name_H-M 'P 4/m m m'
_symmetry_Int_Tables_number 123
_symmetry_space_group_name_Hall '-P 4 2'
loop_
_atom_site_label
_atom_site_type_symbol
_atom_site_fract_x
_atom_site_fract_y
_atom_site_fract_z
Ba1 Ba 0.0000 0.0000 0.0000
In1 In 0.5000 0.5000 0.5000
Sb1 Sb 0.0000 0.0000 0.5000
I1 I 0.0000 0.5000 0.0000